Density functional theory data (PBE) for a relaxed structure of Cs2Rb5Tl2.

Crystal system   orthorhombic
Energy   -11.38 eV/f.u.
Energy of formation   -0.012 eV/atom
Magnetization   0.00 μB/f.u.
D(E_F)   33.69 states/eV per cell

Cell: 26.4056 10.1668 10.1773 Å, 90.00 90.00 90.00°
Space group Cmce (No. 64)
Inequivalent atoms, fractional coordinates:
Cs1 0.2324 0.0000 0.0000 [8 per cell]
Rb1 0.0000 0.0000 0.0000 [4 per cell]
Rb2 0.0962 0.1799 0.3202 [16 per cell]
Tl1 0.0000 0.1052 0.6064 [8 per cell]